(1)
Here is a relaxed structure of Np2Ge4RuPt3 from Alexandria via LeMat-Bulk. Energies are from PBE.

POSCAR file:
```
Np2Ge4RuPt3
1.0
4.2411 0.0000 0.0000
0.0000 4.2411 0.0000
0.0000 0.0000 10.3607
Np Ge Ru Pt
2 4 1 3
direct
0.5000 0.0000 0.2502
0.0000 0.5000 0.7498
0.5000 0.5000 0.0000
0.0000 0.0000 0.0000
0.5000 0.0000 0.6305
0.0000 0.5000 0.3695
0.5000 0.5000 0.5000
0.0000 0.0000 0.5000
0.5000 0.0000 0.8671
0.0000 0.5000 0.1329
```

Volume: 186.36 Å³ per cell
Raw total energy: -76.74 eV/cell
Crystal system: tetragonal
Energy of formation from the pure elements: -0.4989 eV/atom

(2)
Here is a relaxed structure of KTiMnTe4 from Alexandria via LeMat-Bulk. Energies are from PBE.

POSCAR file:
```
KTiMnTe4
1.0
-4.0809 -4.9236 -2.1548
5.8297 -4.5843 -0.5658
2.4107 1.7695 10.5016
K Ti Mn Te
2 2 2 8
direct
0.6712 0.7500 0.9609
0.3288 0.2500 0.0391
0.7750 0.7500 0.4475
0.2250 0.2500 0.5525
0.2110 0.7500 0.3481
0.7890 0.2500 0.6519
0.0949 0.5048 0.6871
0.9051 0.0048 0.3129
0.9051 0.4952 0.3129
0.0949 0.9952 0.6871
0.3442 0.7500 0.1663
0.6558 0.2500 0.8337
0.5821 0.7500 0.6116
0.4179 0.2500 0.3884
```

Volume: 454.48 Å³ per cell
Raw total energy: -68.15 eV/cell
Crystal system: monoclinic
Uncorrected formation energy: -0.478 eV/atom

(3)
Here is a relaxed structure of AcCdH6Ru from Alexandria via LeMat-Bulk. Energies are from PBE.

POSCAR file:
```
AcCdH6Ru
1.0
-2.4863 -0.2254 4.2407
1.1348 -3.4330 3.3381
3.0722 2.9180 1.9562
Ac Cd H Ru
1 1 6 1
direct
0.0000 0.0000 0.0001
0.6666 0.6667 0.5001
0.0513 0.4745 0.2337
0.4744 0.0515 0.7663
0.4742 0.4742 0.7663
0.0514 0.4742 0.7663
0.4744 0.4741 0.2336
0.4742 0.0515 0.2336
0.3333 0.3334 0.4999
```

Volume: 97.87 Å³ per cell
Raw total energy: -36.65 eV/cell
Crystal system: hexagonal

(4)
Here is a relaxed structure of Cs3K2PaO6 from Alexandria via LeMat-Bulk. Energies are from PBE.

POSCAR file:
```
Cs3K2PaO6
1.0
6.8245 0.0039 0.0214
-3.4072 5.9131 0.0214
-1.1183 -1.9364 6.6606
Cs K Pa O
3 2 1 6
direct
0.1727 0.8273 0.5000
0.8273 0.1727 0.5000
0.5000 0.5000 0.5000
0.3339 0.6661 0.0000
0.6661 0.3339 0.0000
0.0000 0.0000 0.0000
0.9380 0.6815 0.8183
0.8076 0.8076 0.1913
0.0620 0.3185 0.1817
0.6815 0.9380 0.8183
0.1924 0.1924 0.8087
0.3185 0.0620 0.1817
```

Volume: 269.43 Å³ per cell
Raw total energy: -66.73 eV/cell
Crystal system: monoclinic
Uncorrected formation energy: -1.894 eV/atom

(5)
Here is a relaxed structure of TiV2Au from Alexandria via LeMat-Bulk. Energies are from PBE.

POSCAR file:
```
TiV2Au
1.0
-3.6185 -0.9536 2.0321
1.7703 -2.7981 1.8392
0.9234 2.4077 2.7742
Ti Au V
1 1 2
direct
0.5000 0.5000 0.5000
0.5000 0.0000 0.0000
0.0000 0.0000 0.5000
0.0000 0.5000 0.0000
```

Volume: 61.09 Å³ per cell
Raw total energy: -29.59 eV/cell
Distance to the lowest polymorph of the same formula: 0.000 eV/atom
Crystal system: tetragonal
Energy of formation from the pure elements: -0.0440 eV/atom

(6)
Here is a relaxed structure of Be4AgAs3O12 from Alexandria via LeMat-Bulk. Energies are from PBE.

POSCAR file:
```
Be4AgAs3O12
1.0
6.1420 -0.1276 -0.1772
-1.6037 5.9303 -0.1772
-1.6037 -2.0505 5.5674
Be Ag As O
4 1 3 12
direct
0.9346 0.0654 0.5000
0.0654 0.5000 0.9346
0.5000 0.9346 0.0654
0.5000 0.5000 0.5000
0.0000 0.0000 0.0000
0.5560 0.4440 0.0000
0.4440 0.0000 0.5560
0.0000 0.5560 0.4440
0.5000 0.3401 0.6599
0.9024 0.5000 0.0976
0.0976 0.9024 0.5000
0.5000 0.0976 0.9024
0.3708 0.9701 0.2468
0.2468 0.3708 0.9701
0.9701 0.2468 0.3708
0.6292 0.7532 0.0299
0.0299 0.6292 0.7532
0.7532 0.0299 0.6292
0.6599 0.5000 0.3401
0.3401 0.6599 0.5000
```

Volume: 197.11 Å³ per cell
Raw total energy: -123.07 eV/cell
Crystal system: trigonal
Uncorrected formation energy: -1.594 eV/atom

(7)
Here is a relaxed structure of Na2Cd6SnAu from Alexandria via LeMat-Bulk. Energies are from PBE.

POSCAR file:
```
Na2Cd6SnAu
1.0
7.4279 0.0000 0.0000
3.7140 6.4328 0.0000
3.7140 2.1443 12.1212
Na Cd Sn Au
4 12 2 2
direct
0.9048 0.9048 0.2855
0.0952 0.0952 0.7145
0.7245 0.7245 0.8266
0.2755 0.2755 0.1734
0.9339 0.3235 0.4192
0.3235 0.9339 0.4192
0.3235 0.3235 0.4192
0.0661 0.6765 0.5808
0.6765 0.0661 0.5808
0.6765 0.6765 0.5808
0.6247 0.2239 0.9275
0.2239 0.6247 0.9275
0.2239 0.2239 0.9275
0.3753 0.7761 0.0725
0.7761 0.3753 0.0725
0.7761 0.7761 0.0725
0.5762 0.5762 0.2715
0.4238 0.4238 0.7285
0.0000 0.0000 0.0000
0.5000 0.5000 0.5000
```

Volume: 579.18 Å³ per cell
Raw total energy: -31.11 eV/cell
Crystal system: trigonal
Energy of formation from the pure elements: -0.0144 eV/atom

(8)
Here is a relaxed structure of K4CrIn from Alexandria via LeMat-Bulk. Energies are from PBE.

POSCAR file:
```
K4CrIn
1.0
0.0000 5.1338 5.1338
5.1338 0.0000 5.1338
5.1338 5.1338 0.0000
K Cr In
4 1 1
direct
0.3749 0.8753 0.3749
0.8753 0.3749 0.3749
0.3749 0.3749 0.8753
0.3749 0.3749 0.3749
0.7500 0.7500 0.7500
0.0000 0.0000 0.0000
```

Volume: 270.61 Å³ per cell
Raw total energy: -12.71 eV/cell
Crystal system: cubic
Energy of formation from the pure elements: 0.6743 eV/atom

(9)
Here is a relaxed structure of TaZnO2F from Alexandria via LeMat-Bulk. Energies are from PBE.

POSCAR file:
```
TaZnO2F
1.0
3.9740 0.0000 0.0000
0.0000 3.9740 0.0000
0.0000 0.0000 4.2696
Zn F O Ta
1 1 2 1
direct
0.5000 0.5000 0.5000
0.0000 0.0000 0.5000
0.0000 0.5000 0.0000
0.5000 0.0000 0.0000
0.0000 0.0000 0.0000
```

Volume: 67.43 Å³ per cell
Raw total energy: -34.20 eV/cell
Crystal system: tetragonal
Uncorrected formation energy: -1.858 eV/atom

(10)
Here is a relaxed structure of PrNiGe2Rh from Alexandria via LeMat-Bulk. Energies are from PBE.

POSCAR file:
```
PrNiGe2Rh
1.0
4.1725 0.0000 0.0000
0.0000 4.1725 0.0000
-2.0862 -2.0862 5.1878
Pr Ni Ge Rh
1 1 2 1
direct
0.0000 0.0000 0.0000
0.2500 0.7500 0.5000
0.6267 0.6267 0.2533
0.3733 0.3733 0.7467
0.7500 0.2500 0.5000
```

Volume: 90.32 Å³ per cell
Raw total energy: -30.85 eV/cell
Crystal system: tetragonal
Energy of formation from the pure elements: -0.7411 eV/atom

(11)
Here is a relaxed structure of Nd4AgHg5 from Alexandria via LeMat-Bulk. Energies are from PBE.

POSCAR file:
```
Nd4AgHg5
1.0
4.9819 0.0000 -1.7080
-0.5604 6.2722 -1.6345
0.1512 0.1149 8.5605
Nd Ag Hg
4 1 5
direct
0.6866 0.3213 0.3732
0.0942 0.8369 0.1883
0.3134 0.6787 0.6268
0.9058 0.1631 0.8117
0.5000 0.0000 0.0000
0.2848 0.1625 0.5697
0.1000 0.3545 0.2000
0.9000 0.6455 0.8000
0.5000 0.5000 0.0000
0.7152 0.8375 0.4303
```

Volume: 270.16 Å³ per cell
Raw total energy: -27.48 eV/cell
Distance to the lowest polymorph of the same formula: 0.000 eV/atom
Crystal system: monoclinic
Energy of formation from the pure elements: -0.4044 eV/atom

(12)
Here is a relaxed structure of KGaC from Alexandria via LeMat-Bulk. Energies are from PBE.

POSCAR file:
```
KGaC
1.0
-3.1068 1.9633 -2.9594
1.4191 -2.9181 -3.4257
-9.2103 -8.8994 3.7653
K C Ga
4 4 4
direct
0.0000 0.8877 0.0000
0.0000 0.1123 0.5000
0.1123 0.0000 0.2500
0.8877 0.0000 0.7500
0.5000 0.2828 0.0000
0.5000 0.7172 0.5000
0.7172 0.5000 0.2500
0.2828 0.5000 0.7500
0.5660 0.5660 0.3750
0.4340 0.4340 0.8750
0.4340 0.5660 0.6250
0.5660 0.4340 0.1250
```

Volume: 297.22 Å³ per cell
Raw total energy: -45.02 eV/cell
Crystal system: tetragonal
Energy of formation from the pure elements: 0.6976 eV/atom